[1]
First-principles (PBE-GGA) data for an optimized crystal structure of CuS2IN, as listed in Alexandria via LeMat-Bulk.

a b c (Å): 4.8681 4.8681 3.7346
angles (deg): 90.00 90.00 90.00
Space group P4/mmm (No. 123)
Inequivalent atoms, fractional coordinates:
Cu: 0.0000 0.0000 0.0000 x1
S: 0.0000 0.5000 0.0000 x2
I: 0.5000 0.5000 0.5000 x1
N: 0.0000 0.0000 0.5000 x1

Computed properties:
energy relative to the lowest polymorph listed for this composition = 0.0 meV/atom
E = -3.36 eV per atom
raw formation energy = 1.0862 eV per atom

***

[2]
First-principles (PBE-GGA) data for an optimized crystal structure of CuSIN2, as listed in Alexandria via LeMat-Bulk.

a b c (Å): 3.5734 3.5734 7.7663
angles (deg): 90.00 90.00 90.00
Space group P4/mmm (No. 123)
Inequivalent atoms, fractional coordinates:
Cu: 0.0000 0.0000 0.0000 x1
S: 0.5000 0.5000 0.5000 x1
I: 0.5000 0.5000 0.0000 x1
N: 0.0000 0.5000 0.5000 x2

Computed properties:
energy relative to the lowest polymorph listed for this composition = 0.0 meV/atom
E = -3.85 eV per atom
raw formation energy = 1.4372 eV per atom

***

[3]
First-principles (PBE-GGA) data for an optimized crystal structure of CuSIN2, as listed in Alexandria via LeMat-Bulk.

a b c (Å): 3.8599 3.8599 6.1776
angles (deg): 90.00 90.00 90.00
Space group P4/mmm (No. 123)
Inequivalent atoms, fractional coordinates:
Cu: 0.0000 0.0000 0.0000 x1
S: 0.0000 0.0000 0.5000 x1
I: 0.5000 0.5000 0.5000 x1
N: 0.0000 0.5000 0.0000 x2

Computed properties:
energy relative to the lowest polymorph listed for this composition = 171.4 meV/atom
E = -3.68 eV per atom
raw formation energy = 1.6086 eV per atom